Entry 1:
NaIn3Sn (PBE, relaxed); magnetic moment = 0.00 Bohr magnetons per cell; crystal system = orthorhombic; excess energy over the best structure of this formula in the dataset = 2 kJ/mol of formula units; space group = Pmn2_1; DFT total energy = -2.77 eV/atom; energy of formation from the pure elements = -0.07 eV/atom
1.0
6.632 0.000 0.000
0.001 6.683 -0.001
0.000 0.000 6.587
Na In Sn
2 6 2
Direct
0.481 0.431 0.701
0.981 0.921 0.200
0.324 0.278 0.201
0.473 0.931 0.951
0.973 0.422 0.451
0.825 0.076 0.701
0.973 0.422 0.951
0.473 0.931 0.451
0.126 0.770 0.701
0.626 0.583 0.201

=====

Entry 2:
KCdAs2 (PBE, relaxed); magnetic moment = 0.00 Bohr magnetons per cell; crystal system = tetragonal; space group = I-4m2; DFT total energy = -2.67 eV/atom; energy of formation from the pure elements = 0.16 eV/atom
1.0
5.685 0.018 0.000
2.037 5.308 0.000
-3.861 -2.663 3.213
As Cd K
2 1 1
Direct
0.000 0.000 0.000
0.250 0.750 0.500
0.500 0.500 0.000
0.750 0.250 0.500